Record 1
Here is a geometry-optimized LaZr2Cr structure from the Alexandria database. Energies are from GGA-PBE.

Summary:
As for the space-group type: Pmmm (47). The value obtained for the density of states at the Fermi level is 4.17 states/eV/cell. The magnetic moment is 2.5 μB per formula unit. The value obtained for the offset from the most stable computed form is 18.13 kJ per mole of atoms. The total energy is -7.523 eV per atom.

abc: 3.623 5.071 5.107
angles: 90.00 90.00 90.00
Fractional positions:
La  0.000  0.000  0.000
Zr  0.000  0.500  0.500
Zr  0.500  0.500  0.000
Cr  0.500  0.000  0.500

Record 2
Here is a geometry-optimized Cs2CdAgAu structure from the Alexandria database. Energies are from GGA-PBE.

Summary:
As for the space-group type: P4/mmm (123). The value obtained for the density of states at the Fermi level is 2.38 states/eV/cell. The magnetic moment is 0.0 μB per formula unit. The value obtained for the offset from the most stable computed form is 3.53 kJ per mole of atoms. The total energy is -1.754 eV per atom.

abc: 6.849 6.849 5.326
angles: 90.00 90.00 90.00
Fractional positions:
Cs  0.000  0.500  0.000
Cs  0.500  0.000  0.000
Cd  0.000  0.000  0.500
Ag  0.500  0.500  0.500
Au  0.500  0.500  0.000

Record 3
Here is a geometry-optimized ZnCS2 structure from the Alexandria database. Energies are from GGA-PBE.

Summary:
As for the space-group type: I-42d (122). The value obtained for the density of states at the Fermi level is 1.25 states/eV/cell. The magnetic moment is 0.0 μB per formula unit. The value obtained for the offset from the most stable computed form is 29.17 kJ per mole of atoms. The total energy is -3.935 eV per atom.

abc: 6.535 6.535 6.535
angles: 135.92 135.92 64.11
Fractional positions:
Zn  0.000  0.000  0.000
Zn  0.750  0.250  0.500
C  0.250  0.750  0.500
C  0.500  0.500  0.000
S  0.183  0.625  0.058
S  0.375  0.433  0.558
S  0.567  0.125  0.942
S  0.875  0.817  0.442

Record 4
Here is a geometry-optimized ReSiF2 structure from the Alexandria database. Energies are from GGA-PBE.

Summary:
As for the space-group type: I-42d (122). The value obtained for the density of states at the Fermi level is 3.83 states/eV/cell. The magnetic moment is 2.0 μB per formula unit. The value obtained for the offset from the most stable computed form is 37.67 kJ per mole of atoms. The total energy is -5.814 eV per atom.

abc: 8.319 8.319 8.319
angles: 155.15 155.15 35.43
Fractional positions:
Re  0.000  0.000  0.000
Re  0.750  0.250  0.500
Si  0.250  0.750  0.500
Si  0.500  0.500  0.000
F  0.110  0.625  0.985
F  0.375  0.360  0.485
F  0.640  0.125  0.015
F  0.875  0.890  0.515

Record 5
Here is a geometry-optimized NaSrV structure from the Alexandria database. Energies are from GGA-PBE.

Summary:
As for the space-group type: F-43m (216). The value obtained for the density of states at the Fermi level is 7.86 states/eV/cell. The magnetic moment is 5.0 μB per formula unit. The value obtained for the offset from the most stable computed form is 80.76 kJ per mole of atoms. The total energy is -2.810 eV per atom.

abc: 5.586 5.586 5.586
angles: 60.00 60.00 60.00
Fractional positions:
Na  0.000  0.000  0.000
Sr  0.250  0.250  0.250
V  0.500  0.500  0.500

Record 6
Here is a geometry-optimized Er2GaF structure from the Alexandria database. Energies are from GGA-PBE.

Summary:
As for the space-group type: R-3m (166). The value obtained for the density of states at the Fermi level is 2.18 states/eV/cell. The magnetic moment is 0.0 μB per formula unit. The total energy is -4.943 eV per atom.

abc: 7.394 7.394 7.394
angles: 35.19 35.19 35.19
Fractional positions:
Er  0.104  0.104  0.104
Er  0.896  0.896  0.896
Ga  0.500  0.500  0.500
F  0.000  0.000  0.000

Record 7
Here is a geometry-optimized Be2WCl structure from the Alexandria database. Energies are from GGA-PBE.

Summary:
As for the space-group type: Immm (71). The value obtained for the density of states at the Fermi level is 2.56 states/eV/cell. The magnetic moment is 0.0 μB per formula unit. The value obtained for the offset from the most stable computed form is 60.72 kJ per mole of atoms. The total energy is -4.731 eV per atom.

abc: 4.936 4.936 4.936
angles: 146.96 128.51 62.55
Fractional positions:
Be  0.244  0.244  0.000
Be  0.756  0.756  0.000
W  0.500  0.000  0.500
Cl  0.000  0.500  0.500

Record 8
Here is a geometry-optimized PmY2ZrP4 structure from the Alexandria database. Energies are from GGA-PBE.

Summary:
As for the space-group type: P2/m (10). The value obtained for the density of states at the Fermi level is 1.53 states/eV/cell. The magnetic moment is 0.0 μB per formula unit. The total energy is -7.510 eV per atom.

abc: 6.862 3.964 6.876
angles: 90.00 109.25 90.00
Fractional positions:
Pm  0.000  0.000  0.000
Y  0.500  0.000  0.500
Y  0.500  0.500  0.000
Zr  0.000  0.500  0.500
P  0.241  0.000  0.736
P  0.248  0.500  0.261
P  0.752  0.500  0.739
P  0.759  0.000  0.264

Record 9
Here is a geometry-optimized Pr2Tm4Cd structure from the Alexandria database. Energies are from GGA-PBE.

Summary:
As for the space-group type: P2_1/m (11). The value obtained for the density of states at the Fermi level is 19.94 states/eV/cell. The magnetic moment is 0.0 μB per formula unit. The total energy is -4.012 eV per atom.

abc: 5.951 6.571 11.338
angles: 90.00 104.25 90.00
Fractional positions:
Pr  0.078  0.250  0.481
Pr  0.346  0.750  0.068
Pr  0.654  0.250  0.932
Pr  0.922  0.750  0.519
Tm  0.155  0.007  0.787
Tm  0.155  0.493  0.787
Tm  0.207  0.250  0.069
Tm  0.365  0.750  0.370
Tm  0.635  0.250  0.630
Tm  0.793  0.750  0.931
Tm  0.845  0.507  0.213
Tm  0.845  0.993  0.213
Cd  0.498  0.250  0.337
Cd  0.502  0.750  0.663

Record 10
Here is a geometry-optimized YMnIn structure from the Alexandria database. Energies are from GGA-PBE.

Summary:
As for the space-group type: F-43m (216). The value obtained for the density of states at the Fermi level is 3.00 states/eV/cell. The magnetic moment is 4.7 μB per formula unit. The total energy is -5.982 eV per atom.

abc: 4.757 4.757 4.757
angles: 60.00 60.00 60.00
Fractional positions:
Y  0.000  0.000  0.000
Mn  0.750  0.750  0.750
In  0.500  0.500  0.500

Record 11
Here is a geometry-optimized AlAg12Au2 structure from the Alexandria database. Energies are from GGA-PBE.

Summary:
As for the space-group type: P4/nbm (125). The value obtained for the density of states at the Fermi level is 7.76 states/eV/cell. The magnetic moment is 0.0 μB per formula unit. The total energy is -2.773 eV per atom.

abc: 5.431 5.431 20.102
angles: 90.00 90.00 90.00
Fractional positions:
Al  0.250  0.750  0.000
Al  0.750  0.250  0.000
Ag  0.000  0.000  0.094
Ag  0.000  0.000  0.906
Ag  0.000  0.500  0.094
Ag  0.000  0.500  0.906
Ag  0.071  0.571  0.436
Ag  0.071  0.929  0.564
Ag  0.250  0.250  0.201
Ag  0.250  0.250  0.334
Ag  0.250  0.250  0.666
Ag  0.250  0.250  0.799
Ag  0.429  0.571  0.564
Ag  0.429  0.929  0.436
Ag  0.500  0.000  0.094
Ag  0.500  0.000  0.906
Ag  0.500  0.500  0.094
Ag  0.500  0.500  0.906
Ag  0.571  0.071  0.564
Ag  0.571  0.429  0.436
Ag  0.750  0.750  0.201
Ag  0.750  0.750  0.334
Ag  0.750  0.750  0.666
Ag  0.750  0.750  0.799
Ag  0.929  0.071  0.436
Ag  0.929  0.429  0.564
Au  0.250  0.750  0.266
Au  0.250  0.750  0.734
Au  0.750  0.250  0.266
Au  0.750  0.250  0.734

Record 12
Here is a geometry-optimized Zr2ScIn structure from the Alexandria database. Energies are from GGA-PBE.

Summary:
As for the space-group type: Pmmm (47). The value obtained for the density of states at the Fermi level is 4.59 states/eV/cell. The magnetic moment is 0.0 μB per formula unit. The total energy is -6.696 eV per atom.

abc: 3.372 5.074 5.312
angles: 90.00 90.00 90.00
Fractional positions:
Zr  0.000  0.000  0.000
Zr  0.500  0.500  0.000
Sc  0.000  0.500  0.500
In  0.500  0.000  0.500